No. 1
TcAs2Ir: relaxed, GGA-PBE.

Results
V in Å³ per atom: 15.04
ΔE_f in eV per formula unit: 0.4
Uncorrected energy in eV per atom: -7.03
Symmetry: Fm-3m (225)

Unit cell a=4.398 b=4.398 c=4.398 alpha=60.00 beta=60.00 gamma=60.00
Element x y z (fractional)
Tc: 0.000 0.000 0.000
As: 0.250 0.250 0.250
As: 0.750 0.750 0.750
Ir: 0.500 0.500 0.500

No. 2
OsRu2: relaxed, GGA-PBE.

Results
V in Å³ per atom: 14.30
ΔE_f in eV per formula unit: 0.9
Uncorrected energy in eV per atom: -9.64
Symmetry: P6/mmm (191)

Unit cell a=4.286 b=4.286 c=2.696 alpha=90.00 beta=90.00 gamma=120.00
Element x y z (fractional)
Os: 0.000 0.000 0.500
Ru: 0.333 0.667 0.000
Ru: 0.667 0.333 0.000

No. 3
Pm5Er3Cd: relaxed, GGA-PBE.

Results
V in Å³ per atom: 36.89
ΔE_f in eV per formula unit: 4.2
Uncorrected energy in eV per atom: -3.80
Symmetry: C2/m (12)

Unit cell a=9.990 b=9.990 c=9.188 alpha=58.38 beta=58.38 gamma=71.62
Element x y z (fractional)
Er: 0.000 0.000 0.000
Er: 0.000 0.000 0.500
Er: 0.355 0.355 0.202
Er: 0.702 0.702 0.377
Er: 0.645 0.645 0.798
Er: 0.298 0.298 0.623
Pm: 0.401 0.933 0.359
Pm: 0.450 0.450 0.754
Pm: 0.550 0.550 0.246
Pm: 0.933 0.401 0.359
Pm: 0.258 0.742 0.000
Pm: 0.813 0.813 0.941
Pm: 0.599 0.067 0.641
Pm: 0.742 0.258 0.000
Pm: 0.067 0.599 0.641
Pm: 0.187 0.187 0.059
Cd: 0.870 0.870 0.403
Cd: 0.130 0.130 0.597

No. 4
CeNdNi2As2: relaxed, GGA-PBE.

Results
V in Å³ per atom: 19.54
ΔE_f in eV per formula unit: -6.2
Uncorrected energy in eV per atom: -6.30
Symmetry: P-3m1 (164)

Unit cell a=4.104 b=4.104 c=8.040 alpha=90.00 beta=90.00 gamma=120.00
Site moments in Bohr magnetons follow the coordinates.
Element x y z (fractional)
Ni: 0.333 0.667 0.731  -0.03
Ni: 0.667 0.333 0.269  -0.03
As: 0.333 0.667 0.248  -0.01
As: 0.667 0.333 0.752  -0.01
Nd: 0.000 0.000 0.000  0.05
Ce: 0.000 0.000 0.500  0.51

No. 5
BaUTl2Br8: relaxed, GGA-PBE.

Results
V in Å³ per atom: 43.82
Formation energy without anion corrections in meV/atom: -1366
Uncorrected energy in eV per atom: -3.98
Symmetry: P-1 (2)

Unit cell a=7.476 b=7.420 c=9.484 alpha=89.92 beta=89.96 gamma=91.81
Site moments in Bohr magnetons follow the coordinates.
Element x y z (fractional)
Ba: 0.000 0.000 0.500  0.00
Br: 0.654 0.739 0.500  0.00
Br: 0.869 0.223 0.783  -0.02
Br: 0.870 0.224 0.216  -0.02
Br: 0.346 0.261 0.500  0.00
Br: 0.315 0.198 0.001  -0.04
Br: 0.130 0.776 0.784  -0.02
Br: 0.685 0.802 0.999  -0.04
Br: 0.131 0.777 0.217  -0.02
Tl: 0.499 0.499 0.747  0.00
Tl: 0.501 0.501 0.253  0.00
U: 0.000 0.000 0.000  2.10

No. 6
Pr8YGa6: relaxed, GGA-PBE.

Results
V in Å³ per atom: 29.26
ΔE_f in eV per formula unit: -5.4
Uncorrected energy in eV per atom: -4.55
Symmetry: R-3 (148)

Unit cell a=8.919 b=8.919 c=8.192 alpha=57.02 beta=57.02 gamma=60.00
Element x y z (fractional)
Pr: 0.334 0.334 0.997
Pr: 0.551 0.221 0.341
Pr: 0.449 0.779 0.659
Pr: 0.221 0.887 0.341
Pr: 0.887 0.551 0.341
Pr: 0.779 0.113 0.659
Pr: 0.666 0.666 0.003
Pr: 0.113 0.449 0.659
Y: 0.000 0.000 0.000
Ga: 0.729 0.381 0.835
Ga: 0.381 0.055 0.835
Ga: 0.945 0.271 0.165
Ga: 0.619 0.945 0.165
Ga: 0.271 0.619 0.165
Ga: 0.055 0.729 0.835

No. 7
Ac3USe6: relaxed, GGA-PBE.

Results
V in Å³ per atom: 33.65
Formation energy without anion corrections in meV/atom: -1721
Uncorrected energy in eV per atom: -6.17
Symmetry: Cmc2_1 (36)

Unit cell a=7.530 b=9.549 c=9.549 alpha=101.43 beta=90.00 gamma=90.00
Site moments in Bohr magnetons follow the coordinates.
Element x y z (fractional)
Ac: 0.483 0.915 0.702  0.01
Ac: 0.983 0.702 0.915  0.01
Ac: 0.891 0.601 0.399  0.00
Ac: 0.483 0.298 0.085  0.01
Ac: 0.983 0.085 0.298  0.01
Ac: 0.391 0.399 0.601  0.00
U: 0.495 0.841 0.159  2.75
U: 0.995 0.159 0.841  2.75
Se: 0.750 0.991 0.009  -0.03
Se: 0.146 0.771 0.229  -0.02
Se: 0.684 0.903 0.416  -0.03
Se: 0.184 0.416 0.903  -0.03
Se: 0.685 0.311 0.364  0.00
Se: 0.646 0.229 0.771  -0.02
Se: 0.185 0.689 0.636  0.00
Se: 0.184 0.097 0.584  -0.03
Se: 0.250 0.009 0.991  -0.03
Se: 0.185 0.364 0.311  0.00
Se: 0.684 0.584 0.097  -0.03
Se: 0.685 0.636 0.689  0.00

No. 8
LaCl: relaxed, GGA-PBE.

Results
V in Å³ per atom: 28.92
Formation energy without anion corrections in meV/atom: -605
Uncorrected energy in eV per atom: -3.99
Symmetry: Fd-3m (227)

Unit cell a=5.469 b=5.469 c=5.469 alpha=60.00 beta=60.00 gamma=60.00
Site moments in Bohr magnetons follow the coordinates.
Element x y z (fractional)
La: 0.500 0.500 0.500  1.06
La: 0.750 0.750 0.750  1.06
Cl: 0.250 0.250 0.250  0.03
Cl: 0.000 0.000 0.000  0.03